(1)
Na3ScI6: optimized geometry, PBE-GGA.

Cell: 7.7092 8.2521 11.5687 Å, 90.00 90.41 90.00°
Closest atoms and distances in Å follow each position.
Element x y z (fractional)
Sc1 0.0000 0.0000 0.0000  6 I 2.89-2.93
Na1 0.0000 0.0000 0.5000  6 I 3.17-3.31
I1 0.3377 0.8025 0.4274  1 Sc 2.91, 1 Na 3.19
I2 0.8073 0.6753 0.5703  1 Sc 2.89, 1 Na 3.17
I3 0.8562 0.9535 0.2317  1 Sc 2.93, 1 Na 3.25
Na2 0.0417 0.6013 0.2524  6 I 3.25-3.48
I4 0.1927 0.3247 0.4297  1 Sc 2.89, 1 Na 3.17
I5 0.1623 0.3025 0.0726  1 Sc 2.91, 1 Na 3.19
I6 0.3562 0.5465 0.7317  1 Sc 2.93, 1 Na 3.25
Na3 0.9583 0.3987 0.7476  6 I 3.25-3.48
I7 0.1438 0.0465 0.7683  1 Sc 2.93, 1 Na 3.25
I8 0.6927 0.1753 0.9297  1 Sc 2.89, 1 Na 3.17
Na4 0.5417 0.8987 0.7524  6 I 3.25-3.48
Na5 0.5000 0.5000 0.0000  6 I 3.17-3.31
I9 0.8377 0.6975 0.9274  1 Sc 2.91, 1 Na 3.19
I10 0.6438 0.4535 0.2683  1 Sc 2.93, 1 Na 3.25
Na6 0.4583 0.1013 0.2476  6 I 3.25-3.48
Sc2 0.5000 0.5000 0.5000  6 I 2.89-2.93
I11 0.3073 0.8247 0.0703  1 Sc 2.89, 1 Na 3.17
I12 0.6623 0.1975 0.5726  1 Sc 2.91, 1 Na 3.19

- V: 36.8 Å³/atom
- Raw formation energy: -1175 kJ/mol of formula units
- Excess energy over the best structure of this formula in the dataset: 4 meV/atom
- Spin magnetization: 0.00 μB/f.u.
- Total DFT energy (no corrections): -3.18 eV/atom
- SG: P2_1/c



(2)
Na2ScI4: optimized geometry, PBE-GGA.

Cell: 7.8571 7.8571 7.3792 Å, 122.17 122.17 90.00°
Closest atoms and distances in Å follow each position.
Element x y z (fractional)
Na1 0.2500 0.7500 0.5000  4 I 3.16
I1 0.1602 0.1602 0.8101  1 Sc 2.87, 2 Na 3.16
Sc1 0.5000 0.5000 0.0000  4 I 2.87
I2 0.6499 0.6499 0.8101  1 Sc 2.87, 2 Na 3.16
Na2 0.7500 0.2500 0.5000  4 I 3.16
I3 0.8398 0.3501 0.1899  1 Sc 2.87, 2 Na 3.16
I4 0.3501 0.8398 0.1899  1 Sc 2.87, 2 Na 3.16

- V: 42.8 Å³/atom
- Raw formation energy: -703 kJ/mol of formula units
- Spin magnetization: 1.01 μB/f.u.
- Total DFT energy (no corrections): -3.21 eV/atom
- SG: I-42m



(3)
Na3ScI6: optimized geometry, PBE-GGA.

Cell: 8.4333 8.4333 8.4333 Å, 60.00 60.00 60.00°
Closest atoms and distances in Å follow each position.
Element x y z (fractional)
I1 0.2411 0.7589 0.2411  1 Sc 2.88, 1 Na 3.09
I2 0.7589 0.2411 0.2411  1 Sc 2.88, 1 Na 3.09
I3 0.2411 0.2411 0.7589  1 Sc 2.88, 1 Na 3.09
Na1 0.5000 0.5000 0.5000  6 I 3.09
I4 0.2411 0.7589 0.7589  1 Sc 2.88, 1 Na 3.09
I5 0.7589 0.2411 0.7589  1 Sc 2.88, 1 Na 3.09
Sc1 0.0000 0.0000 0.0000  6 I 2.88
Na2 0.7500 0.7500 0.7500  12 I 4.22
Na3 0.2500 0.2500 0.2500  12 I 4.22
I6 0.7589 0.7589 0.2411  1 Sc 2.88, 1 Na 3.09

- V: 42.4 Å³/atom
- Raw formation energy: -1040 kJ/mol of formula units
- Excess energy over the best structure of this formula in the dataset: 144 meV/atom
- Spin magnetization: 0.00 μB/f.u.
- Total DFT energy (no corrections): -3.04 eV/atom
- SG: Fm-3m



(4)
NaSrScI6: optimized geometry, PBE-GGA.

Cell: 7.9335 7.9335 14.1230 Å, 90.00 90.00 120.00°
Closest atoms and distances in Å follow each position.
Element x y z (fractional)
I1 0.3684 0.3322 0.3713  1 Sc 2.92
I2 0.6316 0.6678 0.6287  1 Sc 2.92
I3 0.0362 0.3684 0.6287  1 Sc 2.92
Na1 0.0000 0.0000 0.5000  6 I 3.33
Sc1 0.3333 0.6667 0.7500  6 I 2.92
Na2 0.0000 0.0000 0.0000  6 I 3.33
I4 0.0362 0.6678 0.8713  1 Sc 2.92
I5 0.9638 0.6316 0.3713  1 Sc 2.92
I6 0.3322 0.9638 0.6287  1 Sc 2.92
I7 0.3684 0.0362 0.1287  1 Sc 2.92
I8 0.6678 0.6316 0.1287  1 Sc 2.92
I9 0.6678 0.0362 0.3713  1 Sc 2.92
I10 0.3322 0.3684 0.8713  1 Sc 2.92
I11 0.9638 0.3322 0.1287  1 Sc 2.92
Sr1 0.3333 0.6667 0.2500  6 I 3.28
I12 0.6316 0.9638 0.8713  1 Sc 2.92
Sr2 0.6667 0.3333 0.7500  6 I 3.28
Sc2 0.6667 0.3333 0.2500  6 I 2.92

- V: 42.8 Å³/atom
- Raw formation energy: -1190 kJ/mol of formula units
- Spin magnetization: 0.00 μB/f.u.
- Total DFT energy (no corrections): -3.44 eV/atom
- SG: P-31c